No. 1
DFT (PBE-GGA) results for BaNaSr2Cd4 after structural relaxation.

Cell: 9.997 9.997 9.997 Å, 33.39 33.39 33.39°
Atoms (fractional coordinates):
Ba (0.000, 0.000, 0.000)
Na (0.500, 0.500, 0.500)
Sr (0.246, 0.246, 0.246)
Sr (0.754, 0.754, 0.754)
Cd (0.125, 0.125, 0.125)
Cd (0.380, 0.380, 0.380)
Cd (0.620, 0.620, 0.620)
Cd (0.875, 0.875, 0.875)

Computed properties:
Energy of formation from the pure elements = -0.23 eV/atom
SG = No. 166
D(E_F) = 6.561 states/eV/cell

=====

No. 2
DFT (PBE-GGA) results for BaNaSr2Cd after structural relaxation.

Cell: 6.459 6.459 6.639 Å, 90.00 90.00 90.00°
Atoms (fractional coordinates):
Ba (0.000, 0.000, 0.000)
Na (0.500, 0.500, 0.000)
Sr (0.000, 0.500, 0.500)
Sr (0.500, 0.000, 0.500)
Cd (0.000, 0.000, 0.500)

Computed properties:
Energy relative to the lowest polymorph listed for this composition = 0.000 eV/atom
Energy of formation from the pure elements = 0.00 eV/atom
SG = No. 123
D(E_F) = 4.322 states/eV/cell